[1]
Density functional theory data (GGA-PBE) for an optimized crystal structure of Pa4Ga12Cu.

```
Pa4Ga12Cu
1.0
-2.332 2.965 6.464
-4.433 2.335 -5.559
-0.272 -7.466 0.439
Ga Pa Cu
12 4 1
Cartesian
-1.845 -3.189 4.890
-1.371 -1.496 -1.493
-4.033 1.525 2.178
-1.972 1.545 0.264
-4.559 1.368 -0.828
-3.003 -3.691 -0.835
-4.044 -1.240 -2.334
-2.993 -0.925 3.677
-0.759 -1.312 2.012
-3.333 -3.635 -3.628
-4.793 3.756 0.641
-2.478 -3.533 2.171
-2.216 1.168 -2.780
-1.166 1.483 3.232
-0.136 -3.733 0.219
-3.518 -1.083 0.672
0.000 0.000 0.000
```

For the total moment, the calculation gives 0.82 Bohr magnetons per cell. The symmetry is No. 229.

---

[2]
Density functional theory data (GGA-PBE) for an optimized crystal structure of PaGaCu.

```
PaGaCu
1.0
0.000 3.283 3.283
3.283 0.000 3.283
3.283 3.283 0.000
Ga Cu Pa
1 1 1
Cartesian
4.924 4.924 4.924
1.641 1.641 1.641
0.000 0.000 0.000
```

For the total moment, the calculation gives 0.96 Bohr magnetons per cell. The symmetry is No. 216.

---

[3]
Density functional theory data (GGA-PBE) for an optimized crystal structure of PaGaCu.

```
PaGaCu
1.0
1.588 -4.033 0.991
-2.627 -3.003 1.962
-1.393 -3.558 -2.273
Pa Ga Cu
1 1 1
Cartesian
-1.825 -7.946 0.510
-0.608 -2.649 0.170
0.000 0.000 0.000
```

For the total moment, the calculation gives 0.03 Bohr magnetons per cell. The symmetry is No. 216.

---

[4]
Density functional theory data (GGA-PBE) for an optimized crystal structure of Pa2Ga5Cu3.

```
Pa2Ga5Cu3
1.0
3.363 0.544 7.539
-7.197 -2.269 -3.390
5.427 -6.011 -1.687
Ga Pa Cu
10 4 6
Cartesian
2.434 -5.177 -2.004
0.920 -5.889 2.607
0.517 -6.039 0.070
-1.843 -4.571 -1.501
4.722 -6.199 1.788
0.673 -1.847 -0.146
1.076 -1.696 2.391
3.436 -3.165 3.963
-3.129 -1.537 0.674
-0.841 -2.559 4.466
1.753 -0.938 5.434
-0.160 -6.797 -2.973
2.837 -3.971 0.971
-1.244 -3.765 1.490
1.085 -3.800 3.628
-3.791 -3.317 -0.678
-0.959 -0.431 1.037
5.384 -4.419 3.139
-2.876 -1.293 3.111
0.508 -3.936 -1.167
```

For the total moment, the calculation gives 0.02 Bohr magnetons per cell. The symmetry is No. 72.

---

[5]
Density functional theory data (GGA-PBE) for an optimized crystal structure of Ga2CuPb.

```
Ga2CuPb
1.0
-1.184 -4.580 -1.115
-3.091 -0.892 -3.643
1.618 -1.992 -4.127
Pb Cu Ga
1 1 2
Cartesian
-1.328 -3.732 -4.443
-0.664 -1.866 -2.221
-1.992 -5.598 -6.664
0.000 0.000 0.000
```

The symmetry is No. 216.

---

[6]
Density functional theory data (GGA-PBE) for an optimized crystal structure of GaCu2Pb.

```
GaCu2Pb
1.0
-1.778 4.251 -4.685
-5.104 1.911 3.671
3.738 4.632 2.785
Pb Ga Cu
4 4 8
Cartesian
-0.683 3.271 3.228
0.980 4.441 -0.950
-1.572 5.397 0.886
-3.441 3.081 -0.507
1.869 2.316 1.392
0.000 0.000 0.000
-0.889 2.126 -2.342
-2.552 0.956 1.836
-4.593 5.833 -0.195
-1.689 4.745 -2.284
1.450 4.961 1.967
-3.582 3.413 2.471
0.438 7.381 -0.699
-1.455 6.049 4.056
-2.466 8.469 1.390
-0.677 2.326 0.382
```

The symmetry is No. 221.

---

[7]
Density functional theory data (GGA-PBE) for an optimized crystal structure of GaCu2Pb.

```
GaCu2Pb
1.0
6.568 0.000 0.000
0.000 6.568 0.000
0.000 0.000 6.568
Cu Pb Ga
8 4 4
Cartesian
4.700 1.868 4.700
1.868 4.700 1.868
4.700 4.700 1.868
4.700 1.868 1.868
1.868 4.700 4.700
4.700 4.700 4.700
1.868 1.868 1.868
1.868 1.868 4.700
3.284 0.000 0.000
0.000 0.000 0.000
0.000 0.000 3.284
0.000 3.284 0.000
3.284 3.284 0.000
3.284 3.284 3.284
0.000 3.284 3.284
3.284 0.000 3.284
```

The symmetry is No. 221.

---

[8]
Density functional theory data (GGA-PBE) for an optimized crystal structure of GaCuPdPb.

```
GaCuPdPb
1.0
-3.405 -2.130 2.411
-2.845 2.508 2.749
-4.479 0.629 -1.218
Pd Pb Ga Cu
1 1 1 1
Cartesian
0.000 0.000 0.000
-5.364 0.504 1.971
-2.682 0.252 0.986
-8.047 0.755 2.957
```

The symmetry is No. 216. As for the polymorph energy (0 for the lowest one): 74 meV per atom.

---

no.,total energy (eV per atom),calculated volume (Å³ per cell)
1,-4.94,323
2,-3.67,71
3,-5.48,62
4,-4.82,347
5,-3.15,81
6,-3.37,284
7,-3.37,283
8,-3.83,73